[1]
A relaxed structure of Li2TlGa. Source: Alexandria via LeMat-Bulk, functional PBEsol.

Unit cell a=6.5137 b=6.5137 c=6.5137 alpha=90.00 beta=90.00 gamma=90.00
Closest atoms and distances in Å follow each position.
Space group Fm-3m (No. 225)
Symmetry-distinct sites (fractional):
Li 0.2500 0.2500 0.2500 (multiplicity 8)  4 Tl 2.82, 4 Ga 2.82
Tl 0.0000 0.0000 0.0000 (multiplicity 4)  8 Li 2.82
Ga 0.0000 0.0000 0.5000 (multiplicity 4)  8 Li 2.82

Values from the calculation:
energy of formation	-0.2495	eV/atom
electronic total energy	-43.61	eV/cell
offset from the most stable computed form	0	meV/atom

***

[2]
A relaxed structure of YOsBr. Source: Alexandria via LeMat-Bulk, functional PBEsol.

Unit cell a=6.3676 b=6.3676 c=6.3676 alpha=90.00 beta=90.00 gamma=90.00
Closest atoms and distances in Å follow each position.
Space group F-43m (No. 216)
Symmetry-distinct sites (fractional):
Y 0.0000 0.0000 0.0000 (multiplicity 4)  4 Os 2.76
Os 0.2500 0.2500 0.2500 (multiplicity 4)  4 Y 2.76, 4 Br 2.76
Br 0.0000 0.0000 0.5000 (multiplicity 4)  4 Os 2.76

Values from the calculation:
electronic total energy	-78.49	eV/cell
offset from the most stable computed form	398	meV/atom
ΔE_f (raw)	124	kJ/mol of formula units

***

[3]
A relaxed structure of CaAl2Zn2. Source: Alexandria via LeMat-Bulk, functional PBEsol.

Unit cell a=4.0507 b=4.0507 c=11.3702 alpha=90.00 beta=90.00 gamma=90.00
Closest atoms and distances in Å follow each position.
Space group I4/mmm (No. 139)
Symmetry-distinct sites (fractional):
Ca 0.0000 0.0000 0.0000 (multiplicity 2)  8 Zn 3.11
Al 0.0000 0.5000 0.2500 (multiplicity 4)  4 Zn 2.59, 4 Al 2.86
Zn 0.0000 0.0000 0.3926 (multiplicity 4)  1 Zn 2.44, 4 Al 2.59

Values from the calculation:
energy of formation	-0.2985	eV/atom
electronic total energy	-29.95	eV/cell

***

[4]
A relaxed structure of Zr2AlPdCl. Source: Alexandria via LeMat-Bulk, functional PBEsol.

Unit cell a=4.6308 b=4.6308 c=4.5510 alpha=90.00 beta=90.00 gamma=90.00
Closest atoms and distances in Å follow each position.
Space group P4/mmm (No. 123)
Symmetry-distinct sites (fractional):
Zr 0.0000 0.5000 0.0000 (multiplicity 2)  2 Cl 2.32
Al 0.0000 0.0000 0.5000 (multiplicity 1)  2 Cl 2.28
Pd 0.5000 0.5000 0.5000 (multiplicity 1)  8 Zr 3.25, 4 Al 3.27
Cl 0.0000 0.0000 0.0000 (multiplicity 1)  2 Al 2.28, 4 Zr 2.32

Values from the calculation:
electronic total energy	-29.73	eV/cell
ΔE_f (raw)	49	kJ/mol of formula units

***

[5]
A relaxed structure of Nb2TcOsS. Source: Alexandria via LeMat-Bulk, functional PBEsol.

Unit cell a=4.8335 b=4.8335 c=4.6189 alpha=90.00 beta=90.00 gamma=90.00
Closest atoms and distances in Å follow each position.
Space group P4/mmm (No. 123)
Symmetry-distinct sites (fractional):
Nb 0.0000 0.5000 0.0000 (multiplicity 2)  2 Os 2.42
Tc 0.0000 0.0000 0.5000 (multiplicity 1)  2 Os 2.31
Os 0.0000 0.0000 0.0000 (multiplicity 1)  2 Tc 2.31, 4 Nb 2.42
S 0.5000 0.5000 0.5000 (multiplicity 1)  8 Nb 3.34, 4 Tc 3.42

Values from the calculation:
electronic total energy	-42.06	eV/cell
ΔE_f (raw)	718	kJ/mol of formula units

***

[6]
A relaxed structure of MgPt2W. Source: Alexandria via LeMat-Bulk, functional PBEsol.

Unit cell a=2.7664 b=2.7664 c=8.1401 alpha=90.00 beta=90.00 gamma=90.00
Closest atoms and distances in Å follow each position.
Space group P4mm (No. 99)
Symmetry-distinct sites (fractional):
Mg 0.0000 0.0000 0.0000 (multiplicity 1)  4 Pt 2.72, 4 Mg 2.77, 4 W 3.00
Pt 0.0000 0.0000 0.4870 (multiplicity 1)  4 W 2.72, 8 Pt 2.77-2.85
Pt 0.5000 0.5000 0.2323 (multiplicity 1)  4 Mg 2.72, 8 Pt 2.77-2.85
W 0.5000 0.5000 0.7199 (multiplicity 1)  4 Pt 2.72, 4 W 2.77, 4 Mg 3.00

Values from the calculation:
energy of formation	-0.1361	eV/atom
electronic total energy	-30.00	eV/cell